The following is a DFT calculation (PBE-GGA) of a relaxed Hf2VGaN crystal.

Distance to the lowest polymorph of the same formula   0 meV/atom
Formation energy from raw total energies   -0.788 eV per atom
Electronic total energy   -88.63 eV/cell

The structure in CIF format:
```
data_Hf2VGaN
_chemical_formula_sum 'Hf4 V2 Ga2 N2'
_cell_length_a 3.522
_cell_length_b 3.522
_cell_length_c 12.037
_cell_angle_alpha 90.00
_cell_angle_beta 90.00
_cell_angle_gamma 90.00
_symmetry_space_group_name_H-M 'P 1'
_symmetry_Int_Tables_number 1
_symmetry_space_group_name_Hall 'P 1'
loop_
_atom_site_label
_atom_site_fract_x
_atom_site_fract_y
_atom_site_fract_z
_atom_site_occupancy
Hf1 0.250 0.250 0.090 1
Hf2 0.250 0.250 0.735 1
Hf3 0.750 0.750 0.265 1
Hf4 0.750 0.750 0.910 1
V1 0.250 0.750 0.500 1
V2 0.750 0.250 0.500 1
Ga1 0.250 0.250 0.342 1
Ga2 0.750 0.750 0.658 1
N1 0.250 0.250 0.912 1
N2 0.750 0.750 0.088 1
```

=====

The following is a DFT calculation (PBE-GGA) of a relaxed Hf2VGaN crystal.

Distance to the lowest polymorph of the same formula   2 meV/atom
Formation energy from raw total energies   -0.786 eV per atom
Electronic total energy   -44.31 eV/cell

The structure in CIF format:
```
data_Hf2VGaN
_chemical_formula_sum 'Hf2 V1 Ga1 N1'
_cell_length_a 4.479
_cell_length_b 4.479
_cell_length_c 3.828
_cell_angle_alpha 90.00
_cell_angle_beta 90.00
_cell_angle_gamma 90.00
_symmetry_space_group_name_H-M 'P 1'
_symmetry_Int_Tables_number 1
_symmetry_space_group_name_Hall 'P 1'
loop_
_atom_site_label
_atom_site_fract_x
_atom_site_fract_y
_atom_site_fract_z
_atom_site_occupancy
Hf1 0.000 0.500 0.000 1
Hf2 0.500 0.000 0.000 1
V1 0.000 0.000 0.500 1
Ga1 0.500 0.500 0.500 1
N1 0.000 0.000 0.000 1
```

=====

The following is a DFT calculation (PBE-GGA) of a relaxed HfVGaN2 crystal.

Formation energy from raw total energies   0.930 eV per atom
Electronic total energy   -34.10 eV/cell

The structure in CIF format:
```
data_HfVGaN2
_chemical_formula_sum 'Hf1 V1 Ga1 N2'
_cell_length_a 4.122
_cell_length_b 4.122
_cell_length_c 5.562
_cell_angle_alpha 90.00
_cell_angle_beta 90.00
_cell_angle_gamma 90.00
_symmetry_space_group_name_H-M 'P 1'
_symmetry_Int_Tables_number 1
_symmetry_space_group_name_Hall 'P 1'
loop_
_atom_site_label
_atom_site_fract_x
_atom_site_fract_y
_atom_site_fract_z
_atom_site_occupancy
Hf1 0.000 0.000 0.000 1
V1 0.000 0.000 0.500 1
Ga1 0.500 0.500 0.500 1
N1 0.000 0.500 0.000 1
N2 0.500 0.000 0.000 1
```

=====

The following is a DFT calculation (PBE-GGA) of a relaxed Y2HfGaN crystal.

Formation energy from raw total energies   -0.895 eV per atom
Electronic total energy   -38.71 eV/cell

The structure in CIF format:
```
data_Y2HfGaN
_chemical_formula_sum 'Y2 Hf1 Ga1 N1'
_cell_length_a 4.790
_cell_length_b 4.790
_cell_length_c 4.361
_cell_angle_alpha 90.00
_cell_angle_beta 90.00
_cell_angle_gamma 90.00
_symmetry_space_group_name_H-M 'P 1'
_symmetry_Int_Tables_number 1
_symmetry_space_group_name_Hall 'P 1'
loop_
_atom_site_label
_atom_site_fract_x
_atom_site_fract_y
_atom_site_fract_z
_atom_site_occupancy
Y1 0.000 0.500 0.000 1
Y2 0.500 0.000 0.000 1
Hf1 0.000 0.000 0.500 1
Ga1 0.500 0.500 0.500 1
N1 0.000 0.000 0.000 1
```

=====

The following is a DFT calculation (PBE-GGA) of a relaxed HfZr3Ga2N crystal.

Formation energy from raw total energies   -0.735 eV per atom
Electronic total energy   -55.12 eV/cell

The structure in CIF format:
```
data_HfZr3Ga2N
_chemical_formula_sum 'Hf1 Zr3 Ga2 N1'
_cell_length_a 7.965
_cell_length_b 7.965
_cell_length_c 7.965
_cell_angle_alpha 149.20
_cell_angle_beta 148.70
_cell_angle_gamma 44.49
_symmetry_space_group_name_H-M 'P 1'
_symmetry_Int_Tables_number 1
_symmetry_space_group_name_Hall 'P 1'
loop_
_atom_site_label
_atom_site_fract_x
_atom_site_fract_y
_atom_site_fract_z
_atom_site_occupancy
Hf1 0.000 0.000 0.000 1
Zr1 0.165 0.665 0.500 1
Zr2 0.500 0.500 0.000 1
Zr3 0.835 0.335 0.500 1
Ga1 0.359 0.859 0.500 1
Ga2 0.641 0.141 0.500 1
N1 0.000 0.500 0.500 1
```

=====

The following is a DFT calculation (PBE-GGA) of a relaxed Hf2ZrGaN crystal.

Formation energy from raw total energies   -0.832 eV per atom
Electronic total energy   -43.97 eV/cell

The structure in CIF format:
```
data_Hf2ZrGaN
_chemical_formula_sum 'Hf2 Zr1 Ga1 N1'
_cell_length_a 4.319
_cell_length_b 4.319
_cell_length_c 4.647
_cell_angle_alpha 90.00
_cell_angle_beta 90.00
_cell_angle_gamma 90.00
_symmetry_space_group_name_H-M 'P 1'
_symmetry_Int_Tables_number 1
_symmetry_space_group_name_Hall 'P 1'
loop_
_atom_site_label
_atom_site_fract_x
_atom_site_fract_y
_atom_site_fract_z
_atom_site_occupancy
Hf1 0.000 0.500 0.000 1
Hf2 0.500 0.000 0.000 1
Zr1 0.000 0.000 0.500 1
Ga1 0.500 0.500 0.500 1
N1 0.000 0.000 0.000 1
```

=====

The following is a DFT calculation (PBE-GGA) of a relaxed NaHfGa crystal.

Distance to the lowest polymorph of the same formula   93 meV/atom
Formation energy   -36 meV per atom
Electronic total energy   -28.81 eV/cell

The structure in CIF format:
```
data_NaHfGa
_chemical_formula_sum 'Na2 Hf2 Ga2'
_cell_length_a 3.145
_cell_length_b 4.704
_cell_length_c 8.505
_cell_angle_alpha 90.00
_cell_angle_beta 96.69
_cell_angle_gamma 90.00
_symmetry_space_group_name_H-M 'P 1'
_symmetry_Int_Tables_number 1
_symmetry_space_group_name_Hall 'P 1'
loop_
_atom_site_label
_atom_site_fract_x
_atom_site_fract_y
_atom_site_fract_z
_atom_site_occupancy
Na1 0.245 0.250 0.464 1
Na2 0.755 0.750 0.536 1
Hf1 0.345 0.750 0.886 1
Hf2 0.655 0.250 0.114 1
Ga1 0.144 0.750 0.200 1
Ga2 0.856 0.250 0.800 1
```

=====

The following is a DFT calculation (PBE-GGA) of a relaxed NaHfGa crystal.

Distance to the lowest polymorph of the same formula   133 meV/atom
Formation energy   5 meV per atom
Electronic total energy   -57.14 eV/cell

The structure in CIF format:
```
data_NaHfGa
_chemical_formula_sum 'Na4 Hf4 Ga4'
_cell_length_a 8.206
_cell_length_b 2.987
_cell_length_c 10.697
_cell_angle_alpha 90.00
_cell_angle_beta 90.00
_cell_angle_gamma 90.00
_symmetry_space_group_name_H-M 'P 1'
_symmetry_Int_Tables_number 1
_symmetry_space_group_name_Hall 'P 1'
loop_
_atom_site_label
_atom_site_fract_x
_atom_site_fract_y
_atom_site_fract_z
_atom_site_occupancy
Na1 0.156 0.250 0.080 1
Na2 0.344 0.750 0.580 1
Na3 0.656 0.250 0.420 1
Na4 0.844 0.750 0.920 1
Hf1 0.060 0.250 0.382 1
Hf2 0.440 0.750 0.882 1
Hf3 0.560 0.250 0.118 1
Hf4 0.940 0.750 0.618 1
Ga1 0.155 0.250 0.788 1
Ga2 0.345 0.750 0.288 1
Ga3 0.655 0.250 0.712 1
Ga4 0.845 0.750 0.212 1
```